Entry from Alexandria: a relaxed KNb3Ni crystal (PBE).

Cell and atoms, written as POSCAR:
```
KNb3Ni
1.0
4.823 0.000 0.000
0.000 4.823 0.000
0.000 0.000 4.823
Nb Ni K
3 1 1
Cartesian
0.000 2.412 0.000
2.412 0.000 0.000
0.000 0.000 2.412
0.000 0.000 0.000
2.412 2.412 2.412
```

Calculated values
Offset from the most stable computed form, meV per atom: 0.0
Total energy, eV/atom: -6.141
D(E_F), states/eV per cell: 6.2
Energy of formation from the pure elements, meV per atom: 1276
V, Å³ per cell: 112